Density functional theory data (PBEsol) for an optimized crystal structure of CaAl2O4.

The structure in extended XYZ format:
```
28
Lattice="-2.189 -0.532 -1.784 1.144 -8.741 1.205 -6.549 0.241 7.965" Properties=species:S:1:pos:R:3 pbc="T T T"
Ca -2.366 -2.616 0.212
Ca -5.228 -6.417 7.174
Ca -3.031 -6.941 2.319
Ca -4.563 -2.092 5.068
Al -4.541 -8.282 4.573
Al -3.053 -0.751 2.814
Al -7.037 -3.841 6.310
Al -0.557 -5.192 1.076
Al -1.297 -8.571 0.677
Al -6.297 -0.462 6.709
Al -3.687 -4.134 2.287
Al -3.907 -4.899 5.099
O -6.664 -8.236 7.164
O -0.930 -0.797 0.222
O -4.905 -3.951 3.727
O -2.689 -5.082 3.659
O -3.474 -0.558 0.957
O -4.120 -8.475 6.429
O -2.453 -4.945 1.014
O -5.141 -4.088 6.372
O -7.358 -5.538 7.211
O -0.236 -3.495 0.176
O -4.914 -1.278 2.941
O -2.680 -7.755 4.445
O -0.646 -7.057 1.742
O -6.948 -1.976 5.644
O -2.473 -2.640 2.665
O -5.121 -6.393 4.721
```

* SG: Pnma
* N(E_F): 0.0000 states/eV per atom
* energy above the lowest structure with this stoichiometry: 0.022 eV per atom
* ΔE_f (raw): -3.080 eV/atom
* total magnetization: 0.0000 μB/atom



Density functional theory data (PBEsol) for an optimized crystal structure of TiCoP2O8.

The structure in extended XYZ format:
```
36
Lattice="-4.715 -8.590 -1.280 1.413 -7.547 -6.221 2.719 -9.398 1.390" Properties=species:S:1:pos:R:3 pbc="T T T"
P -1.482 -8.849 -0.832
P 1.530 -8.737 -1.588
P -0.635 -8.171 -3.744
P 0.600 -14.351 -0.663
P -3.103 -13.514 -3.807
P 1.565 -13.247 -5.369
Co -0.170 -7.435 -1.779
Co -0.008 -0.363 -0.087
Co -0.299 -13.095 -3.134
O -1.871 -16.630 -3.390
O 0.866 -16.790 -2.982
O -0.127 -16.166 -5.494
O 1.818 -9.251 -0.171
O -3.794 -11.086 -3.533
O -0.986 -10.360 -1.021
O 0.513 -8.122 -4.762
O 1.377 -10.068 -2.465
O 1.841 -13.574 -1.074
O -1.079 -9.710 -3.727
O -3.259 -12.034 -4.509
O -3.198 -13.158 -2.332
O 0.767 -12.196 0.670
O -2.929 -8.861 -1.346
O -0.420 -14.471 -1.876
O 2.249 -10.803 -5.294
O -1.610 -13.886 -4.204
O 2.574 -12.113 -4.735
O 1.063 -13.983 -4.053
O 0.465 -12.375 -5.954
O -0.168 -13.254 0.292
O 0.666 -6.800 -0.046
O -1.885 -6.372 -1.592
O 0.779 -6.101 -2.975
Ti -0.249 -10.893 -2.607
Ti -0.075 -3.284 -0.786
Ti -0.358 -15.689 -3.755
```

* SG: R3
* N(E_F): 0.2002 states/eV per atom
* energy above the lowest structure with this stoichiometry: 0.530 eV per atom
* ΔE_f (raw): -1.618 eV/atom
* total magnetization: 0.1375 μB/atom



Density functional theory data (PBEsol) for an optimized crystal structure of CdCoTe2.

The structure in extended XYZ format:
```
4
Lattice="3.329 0.000 0.000 1.664 2.883 0.000 1.664 0.961 9.355" Properties=species:S:1:pos:R:3 pbc="T T T"
Te 4.993 2.883 0.806
Te 4.993 2.883 6.742
Co 1.664 0.961 2.281
Cd 3.329 1.922 4.204
```

* SG: R3m
* N(E_F): 0.4932 states/eV per atom
* ΔE_f (raw): 0.101 eV/atom
* total magnetization: 0.0001 μB/atom



Density functional theory data (PBEsol) for an optimized crystal structure of TaIn2Te.

The structure in extended XYZ format:
```
4
Lattice="3.041 0.000 0.000 0.000 4.902 0.000 -1.521 -2.451 6.759" Properties=species:S:1:pos:R:3 pbc="T T T"
In 1.521 2.451 6.555
In 1.521 0.000 4.329
Ta 1.521 2.451 0.137
Te 0.000 2.451 2.497
```

* SG: Imm2
* N(E_F): 0.6276 states/eV per atom
* energy above the lowest structure with this stoichiometry: 0.010 eV per atom
* ΔE_f (raw): 0.172 eV/atom
* total magnetization: 0.0000 μB/atom



Density functional theory data (PBEsol) for an optimized crystal structure of ZnBSe2Br.

The structure in extended XYZ format:
```
5
Lattice="4.776 0.000 0.000 0.000 4.776 0.000 0.000 0.000 5.154" Properties=species:S:1:pos:R:3 pbc="T T T"
Zn 0.000 0.000 0.000
B 2.388 2.388 2.577
Se 0.000 2.388 0.000
Se 2.388 0.000 0.000
Br 0.000 0.000 2.577
```

* SG: P4/mmm
* N(E_F): 0.8005 states/eV per atom
* ΔE_f (raw): 1.086 eV/atom
* total magnetization: 0.0001 μB/atom



Density functional theory data (PBEsol) for an optimized crystal structure of CdAu.

The structure in extended XYZ format:
```
2
Lattice="2.998 0.000 0.000 1.499 2.596 0.000 1.499 0.865 4.675" Properties=species:S:1:pos:R:3 pbc="T T T"
Au 0.000 0.000 0.000
Cd 2.998 1.731 2.337
```

* SG: R-3m
* N(E_F): 0.3470 states/eV per atom
* raw total energy: -2.66 eV per atom
* total magnetization: 0.0000 μB/atom



Density functional theory data (PBEsol) for an optimized crystal structure of NiPb2Au.

The structure in extended XYZ format:
```
4
Lattice="3.570 0.000 0.000 1.785 3.092 0.000 1.785 1.031 7.656" Properties=species:S:1:pos:R:3 pbc="T T T"
Au 3.570 2.061 3.828
Ni 0.000 0.000 0.000
Pb 1.785 1.031 1.708
Pb 5.355 3.092 5.948
```

* SG: R-3m
* N(E_F): 0.5363 states/eV per atom
* energy above the lowest structure with this stoichiometry: 0.000 eV per atom
* total magnetization: 0.0000 μB/atom



Density functional theory data (PBEsol) for an optimized crystal structure of Ta2FeNi.

The structure in extended XYZ format:
```
4
Lattice="2.888 0.000 0.000 0.000 4.484 0.038 -1.444 -0.887 4.311" Properties=species:S:1:pos:R:3 pbc="T T T"
Fe 0.000 1.429 4.241
Ni 1.444 0.579 2.221
Ta 0.000 0.204 0.107
Ta 0.000 2.740 2.110
```

* SG: Cm
* N(E_F): 0.8896 states/eV per atom
* raw total energy: -10.09 eV per atom
* total magnetization: 0.0001 μB/atom